Entry 1:
First-principles (PBE) data for crystalline Co2AsW at its relaxed geometry, as listed in Alexandria.

Properties
E   -7.785 eV/atom
Formation enthalpy at 0 K   0.7 eV/f.u.
V   51.2 Å³/cell

abc: 4.614 4.614 4.614
angles: 133.24 133.24 68.27
Atoms (fractional coordinates):
Co 0.000 0.000 0.000
Co 0.750 0.250 0.500
As 0.500 0.500 0.000
W 0.250 0.750 0.500

---

Entry 2:
First-principles (PBE) data for crystalline LiAg2Os at its relaxed geometry, as listed in Alexandria.

Properties
E   -4.358 eV/atom
Formation enthalpy at 0 K   1.4 eV/f.u.
V   63.3 Å³/cell

abc: 2.675 2.675 8.849
angles: 90.00 90.00 90.00
Atoms (fractional coordinates):
Li 0.000 0.000 0.000
Ag 0.000 0.000 0.486
Ag 0.500 0.500 0.751
Os 0.500 0.500 0.229

---

Entry 3:
First-principles (PBE) data for crystalline VZn2Cr at its relaxed geometry, as listed in Alexandria.

Properties
E   -5.124 eV/atom
Formation enthalpy at 0 K   0.8 eV/f.u.
V   57.5 Å³/cell

abc: 4.332 4.332 4.332
angles: 60.00 60.00 60.00
Atoms (fractional coordinates):
V 0.000 0.000 0.000
Zn 0.250 0.250 0.250
Zn 0.750 0.750 0.750
Cr 0.500 0.500 0.500

---

Entry 4:
First-principles (PBE) data for crystalline SiHg2As at its relaxed geometry, as listed in Alexandria.

Properties
E   -2.169 eV/atom
E_form (uncorrected)   0.500 eV/atom
V   86.0 Å³/cell

abc: 2.943 2.943 9.936
angles: 90.00 90.00 90.00
Atoms (fractional coordinates):
Si 0.000 0.000 0.000
Hg 0.500 0.500 0.242
Hg 0.500 0.500 0.758
As 0.000 0.000 0.500

---

Entry 5:
First-principles (PBE) data for crystalline CaYCu2O at its relaxed geometry, as listed in Alexandria.

Properties
E   -4.829 eV/atom
E_form (uncorrected)   -0.505 eV/atom
V   102.6 Å³/cell

abc: 4.922 4.922 4.236
angles: 90.00 90.00 90.00
Atoms (fractional coordinates):
Ca 0.000 0.000 0.000
Y 0.500 0.500 0.000
Cu 0.000 0.500 0.500
Cu 0.500 0.000 0.500
O 0.500 0.500 0.500

---

Entry 6:
First-principles (PBE) data for crystalline AcLa2NdEr5 at its relaxed geometry, as listed in Alexandria.

Properties
E   -4.376 eV/atom
Formation enthalpy at 0 K   2.2 eV/f.u.
V   614.4 Å³/cell

abc: 10.097 10.097 10.097
angles: 128.43 128.43 75.94
Atoms (fractional coordinates):
Ac 0.250 0.250 0.000
Ac 0.750 0.750 0.000
La 0.117 0.617 0.734
La 0.383 0.117 0.500
La 0.617 0.883 0.500
La 0.883 0.383 0.266
Nd 0.250 0.750 0.500
Nd 0.750 0.250 0.500
Er 0.000 0.000 0.000
Er 0.075 0.154 0.500
Er 0.154 0.654 0.079
Er 0.346 0.425 0.500
Er 0.425 0.925 0.079
Er 0.500 0.500 0.000
Er 0.575 0.075 0.921
Er 0.654 0.575 0.500
Er 0.846 0.346 0.921
Er 0.925 0.846 0.500

---

Mass density list, top to bottom, in g/cm3: 12.21 10.83 6.75 9.73 4.40 8.03